[1]
VASP calculation (GGA-PBE) on crystalline ZrPaNb2 at its relaxed geometry.

Energy relative to the elements: 69 meV/atom
D(E_F): 5.8 states/eV/cell
E_tot: -37.91 eV per formula unit
Magnetization: 0.00 μB per cell
Space group: P4/mmm, No. 123

Lattice parameters (Å, degrees): 3.4621 3.4621 6.9888 90.00 90.00 90.00
Last column: nearest neighbours and their distance in Å.
Sites, in units of the cell vectors:
Zr 0.0000 0.0000 0.0000  8 Nb 3.08
Pa 0.0000 0.0000 0.5000  8 Nb 2.94
Nb 0.5000 0.5000 0.2674  4 Pa 2.94, 4 Zr 3.08, 1 Nb 3.25
Nb 0.5000 0.5000 0.7326  4 Pa 2.94, 4 Zr 3.08, 1 Nb 3.25

[2]
VASP calculation (GGA-PBE) on crystalline ZrPaNb2 at its relaxed geometry.

Energy relative to the elements: 133 meV/atom
D(E_F): 9.1 states/eV/cell
E_tot: -37.65 eV per formula unit
Magnetization: 0.00 μB per cell
Space group: P4/mmm, No. 123

Lattice parameters (Å, degrees): 4.9093 4.9093 3.4888 90.00 90.00 90.00
Last column: nearest neighbours and their distance in Å.
Sites, in units of the cell vectors:
Zr 0.0000 0.0000 0.0000  8 Nb 3.01
Pa 0.5000 0.5000 0.0000  8 Nb 3.01
Nb 0.0000 0.5000 0.5000  4 Zr 3.01, 4 Pa 3.01
Nb 0.5000 0.0000 0.5000  4 Zr 3.01, 4 Pa 3.01

[3]
VASP calculation (GGA-PBE) on crystalline Nb4Pb at its relaxed geometry.

Energy relative to the elements: 2143 meV/atom
D(E_F): 7.7 states/eV/cell
E_tot: -33.27 eV per formula unit
Magnetization: 0.00 μB per cell
Space group: Pm-3m, No. 221

Lattice parameters (Å, degrees): 5.0639 5.0639 5.0639 90.00 90.00 90.00
Last column: nearest neighbours and their distance in Å.
Sites, in units of the cell vectors:
Nb 0.0000 0.0000 0.0000  12 Nb 3.58
Nb 0.0000 0.5000 0.5000  2 Pb 2.53
Nb 0.5000 0.0000 0.5000  2 Pb 2.53
Nb 0.5000 0.5000 0.0000  2 Pb 2.53
Pb 0.5000 0.5000 0.5000  6 Nb 2.53

[4]
VASP calculation (GGA-PBE) on crystalline NbPb4 at its relaxed geometry.

Energy relative to the elements: 487 meV/atom
D(E_F): 6.0 states/eV/cell
E_tot: -22.47 eV per formula unit
Magnetization: 0.23 μB per cell
Space group: Pm-3m, No. 221

Lattice parameters (Å, degrees): 5.5475 5.5475 5.5475 90.00 90.00 90.00
Last column: nearest neighbours and their distance in Å.
Sites, in units of the cell vectors:
Nb 0.0000 0.0000 0.0000  6 Pb 2.77
Pb 0.0000 0.0000 0.5000  2 Nb 2.77
Pb 0.0000 0.5000 0.0000  2 Nb 2.77
Pb 0.5000 0.0000 0.0000  2 Nb 2.77
Pb 0.5000 0.5000 0.5000  12 Pb 3.92

[5]
VASP calculation (GGA-PBE) on crystalline Nb5Pb at its relaxed geometry.

Energy relative to the elements: 62 meV/atom
D(E_F): 5.3 states/eV/cell
E_tot: -53.69 eV per formula unit
Magnetization: 0.00 μB per cell
Space group: Cmmm, No. 65

Lattice parameters (Å, degrees): 7.3501 7.3501 3.4971 90.00 90.00 142.60
Last column: nearest neighbours and their distance in Å.
Sites, in units of the cell vectors:
Nb 0.0000 0.0000 0.0000  4 Nb 2.86, 4 Pb 2.93
Nb 0.1628 0.8372 0.5000  8 Nb 2.82-2.94
Nb 0.3216 0.6784 0.0000  8 Nb 2.82-3.09, 2 Pb 3.04
Nb 0.6784 0.3216 0.0000  8 Nb 2.82-3.09, 2 Pb 3.04
Nb 0.8372 0.1628 0.5000  8 Nb 2.82-2.94
Pb 0.5000 0.5000 0.5000  12 Nb 2.93-3.27

[6]
VASP calculation (GGA-PBE) on crystalline NbPdPb2 at its relaxed geometry.

Energy relative to the elements: 0 meV/atom
D(E_F): 4.3 states/eV/cell
E_tot: -22.68 eV per formula unit
Magnetization: 0.00 μB per cell
Space group: C2/m, No. 12

Lattice parameters (Å, degrees): 9.0049 9.0049 6.4976 96.65 96.65 21.40
Last column: nearest neighbours and their distance in Å.
Sites, in units of the cell vectors:
Nb 0.2124 0.2124 0.3583  2 Nb 2.72, 2 Pd 2.78
Nb 0.7876 0.7876 0.6417  2 Nb 2.72, 2 Pd 2.78
Pd 0.2036 0.2036 0.8702  2 Pd 2.77, 2 Nb 2.78, 4 Pb 2.95-3.05
Pd 0.7964 0.7964 0.1298  2 Pd 2.77, 2 Nb 2.78, 4 Pb 2.95-3.05
Pb 0.4015 0.4015 0.4066  2 Pd 2.95, 2 Nb 3.15, 1 Pb 3.18
Pb 0.4093 0.4093 0.9195  2 Pd 3.05, 2 Nb 3.13, 5 Pb 3.18-3.34
Pb 0.5907 0.5907 0.0805  2 Pd 3.05, 2 Nb 3.13, 5 Pb 3.18-3.34
Pb 0.5985 0.5985 0.5934  2 Pd 2.95, 2 Nb 3.15, 1 Pb 3.18

[7]
VASP calculation (GGA-PBE) on crystalline NbPd2Pb at its relaxed geometry.

Energy relative to the elements: -128 meV/atom
D(E_F): 4.3 states/eV/cell
E_tot: -24.68 eV per formula unit
Magnetization: 0.46 μB per cell
Space group: P4/mmm, No. 123

Lattice parameters (Å, degrees): 3.4855 3.4855 6.2166 90.00 90.00 90.00
Last column: nearest neighbours and their distance in Å.
Sites, in units of the cell vectors:
Nb 0.0000 0.0000 0.0000  8 Pd 2.81, 2 Pb 3.11
Pd 0.5000 0.5000 0.2176  1 Pd 2.70, 4 Nb 2.81, 4 Pb 3.03
Pd 0.5000 0.5000 0.7824  1 Pd 2.70, 4 Nb 2.81, 4 Pb 3.03
Pb 0.0000 0.0000 0.5000  8 Pd 3.03, 2 Nb 3.11

[8]
VASP calculation (GGA-PBE) on crystalline NbPdPb2 at its relaxed geometry.

Energy relative to the elements: 60 meV/atom
D(E_F): 4.7 states/eV/cell
E_tot: -22.44 eV per formula unit
Magnetization: 0.00 μB per cell
Space group: Cm, No. 8

Lattice parameters (Å, degrees): 5.6785 5.6785 9.8044 90.68 90.68 35.25
Last column: nearest neighbours and their distance in Å.
Sites, in units of the cell vectors:
Nb 0.0000 0.0000 0.0000  2 Nb 2.73, 3 Pd 2.84-2.87
Nb 0.5710 0.5710 0.7988  2 Nb 2.73, 1 Pd 2.99, 2 Pb 3.02
Pd 0.1017 0.1017 0.2716  5 Pb 2.80-3.00, 2 Pd 2.84, 1 Nb 2.87
Pd 0.7000 0.7000 0.0701  2 Pd 2.84, 3 Nb 2.84-2.99, 4 Pb 2.86-3.04
Pb 0.2933 0.2933 0.8627  2 Pd 2.86, 5 Nb 3.02-3.11
Pb 0.3771 0.3771 0.2372  5 Pd 2.99-3.04, 2 Nb 3.20
Pb 0.6602 0.6602 0.4881  2 Pd 2.80, 1 Pb 3.04
Pb 0.9249 0.9249 0.5945  3 Pb 3.04-3.25, 2 Nb 3.06